1.
An optimized crystal structure of LiScCl2, computed with PBE-GGA.

Results
Energy above the most stable polymorph in this dataset, meV/atom: 279.4
Symmetry: Pmmm
ΔE_f (raw), eV per atom: -1.126
Theoretical density, g/cm3: 2.5
M_tot, μB per formula unit: 0.0

Unit cell a=3.467 b=6.213 c=3.723 alpha=90.00 beta=90.00 gamma=90.00
Element x y z (fractional)
Cl (0.500, 0.500, 0.000)
Li (0.500, 0.000, 0.500)
Sc (0.000, 0.500, 0.500)
Cl (0.000, 0.000, 0.000)



2.
An optimized crystal structure of LiScCl2, computed with PBE-GGA.

Results
Energy above the most stable polymorph in this dataset, meV/atom: 103.7
Symmetry: Cmmm
ΔE_f (raw), eV per atom: -1.302
Theoretical density, g/cm3: 2.5
M_tot, μB per formula unit: 0.0

Unit cell a=3.599 b=3.599 c=7.768 alpha=90.00 beta=90.00 gamma=125.26
Element x y z (fractional)
Sc (0.500, 0.500, 0.750)
Cl (0.000, 0.000, 0.472)
Li (0.500, 0.500, 0.250)
Cl (0.000, 0.000, 0.028)



3.
An optimized crystal structure of LiScCl2, computed with PBE-GGA.

Results
Energy above the most stable polymorph in this dataset, meV/atom: 369.9
Symmetry: Fm-3m
ΔE_f (raw), eV per atom: -1.035
Theoretical density, g/cm3: 2.8
M_tot, μB per formula unit: 2.0

Unit cell a=4.670 b=4.670 c=4.670 alpha=60.00 beta=60.00 gamma=60.00
Site moments in Bohr magnetons follow the coordinates.
Element x y z (fractional)
Cl (0.250, 0.250, 0.250)  -0.01
Li (0.000, 0.000, 0.000)  0.07
Cl (0.750, 0.750, 0.750)  -0.01
Sc (0.500, 0.500, 0.500)  1.19



4.
An optimized crystal structure of LiScCl2, computed with PBE-GGA.

Results
Energy above the most stable polymorph in this dataset, meV/atom: 234.0
Symmetry: Immm
ΔE_f (raw), eV per atom: -1.171
Theoretical density, g/cm3: 2.3
M_tot, μB per formula unit: 1.4

Unit cell a=5.434 b=5.434 c=5.434 alpha=144.75 beta=102.49 gamma=88.11
Site moments in Bohr magnetons follow the coordinates.
Element x y z (fractional)
Li (0.250, 0.750, 0.500)  0.03
Cl (0.011, 0.011, 0.000)  0.01
Cl (0.489, 0.489, 0.000)  0.01
Sc (0.750, 0.250, 0.500)  0.69